#P
{"formula": "ZnTeIr2", "functional": "PBE", "state": "optimized geometry", "m_tot_mub_per_fu": 0.00, "crystal_system": "tetragonal", "lattice": [[3.5772, 0.0000, 0.0000], [0.0000, 3.5772, 0.0000], [0.0000, 0.0000, 5.3508]], "species": ["Ir", "Ir", "Te", "Zn"], "frac_coords": [[0.0000, 0.0000, 0.9538], [0.5000, 0.5000, 0.2868], [0.0000, 0.0000, 0.4561], [0.5000, 0.5000, 0.8033]]}


#Q
{"formula": "ZnTeIr2", "functional": "PBE", "state": "optimized geometry", "m_tot_mub_per_fu": 0.00, "crystal_system": "monoclinic", "lattice": [[-3.7065, 2.2772, -1.0566], [-1.6461, -2.2080, 1.0157], [0.6868, 3.1594, 4.4000]], "species": ["Te", "Ir", "Ir", "Zn"], "frac_coords": [[0.5000, 0.2500, 0.2500], [0.0000, 0.1073, 0.9661], [0.0000, 0.3927, 0.5339], [0.5000, 0.7500, 0.7500]]}


Which of them is most stable? Easy: #P.


#P
{"formula": "Mn3HOs", "functional": "PBE", "state": "optimized geometry", "m_tot_mub_per_fu": 0.00, "crystal_system": "monoclinic", "lattice": [[-1.7884, 0.2962, -3.7108], [5.9127, -2.6835, 1.5310], [-1.9589, -4.0125, 0.6230]], "species": ["Mn", "Mn", "Mn", "Mn", "Mn", "Mn", "H", "H", "Os", "Os"], "frac_coords": [[0.5831, 0.0082, 0.1628], [0.5796, 0.5099, 0.4988], [0.0844, 0.0130, 0.4868], [0.3274, 0.7559, 0.6511], [0.8289, 0.2590, 0.6394], [0.8353, 0.7605, 0.9753], [0.7970, 0.9984, 0.8105], [0.0689, 0.7704, 0.3276], [0.3384, 0.2573, 0.9843], [0.0924, 0.5114, 0.1538]]}


#Q
{"formula": "Mn3HOs", "functional": "PBE", "state": "optimized geometry", "m_tot_mub_per_fu": 0.18, "crystal_system": "monoclinic", "lattice": [[4.4537, 0.0000, 0.8813], [0.0000, 5.2005, 0.0000], [-0.8436, 0.0000, 4.0516]], "species": ["Mn", "Mn", "Mn", "Mn", "Mn", "Mn", "H", "H", "Os", "Os"], "frac_coords": [[0.6636, 0.2500, 0.7610], [0.8307, 0.4994, 0.2399], [0.3364, 0.7500, 0.2390], [0.1693, 0.5006, 0.7601], [0.8307, 0.0006, 0.2399], [0.1693, 0.9994, 0.7601], [0.9872, 0.2500, 0.5175], [0.0128, 0.7500, 0.4825], [0.3403, 0.2500, 0.2436], [0.6597, 0.7500, 0.7564]]}


Which of them is most stable? Easy: #Q.


#P
{"formula": "TlOsPb2", "functional": "PBE", "state": "optimized geometry", "m_tot_mub_per_fu": 0.00, "crystal_system": "tetragonal", "lattice": [[5.0649, -0.4206, 0.0000], [0.0719, 5.0818, 0.0000], [-2.5684, -2.3306, 3.7151]], "species": ["Os", "Tl", "Pb", "Pb"], "frac_coords": [[0.7500, 0.2500, 0.5000], [0.5000, 0.5000, 0.0000], [0.0000, 0.0000, 0.0000], [0.2500, 0.7500, 0.5000]]}


#Q
{"formula": "TlOsPb2", "functional": "PBE", "state": "optimized geometry", "m_tot_mub_per_fu": 0.00, "crystal_system": "monoclinic", "lattice": [[-3.2958, 0.4579, 0.4947], [0.1975, -1.6975, 2.8871], [1.9124, 5.9435, 7.2397]], "species": ["Tl", "Os", "Pb", "Pb"], "frac_coords": [[0.5000, 0.2500, 0.2500], [0.5000, 0.7500, 0.7500], [0.0000, 0.4410, 0.5589], [0.0000, 0.0590, 0.9411]]}


Which of them is most stable? Easy: #Q.